(1)
11
Lattice="-1.9466 1.0339 -3.3645 -5.8375 -1.7831 2.8295 2.8945 6.3773 2.6892" Properties=species:S:1:pos:R:3 comment="Ti8Si2Pt | Alexandria via LeMat-Bulk | PBE | relaxed" sg=C2/m total_energy_ry_per_atom=-0.57121 magmom_total_mub_per_fu=0.0 pbc="T T T"
Ti -1.6026 4.7141 2.3758
Ti -5.6422 1.2961 1.2585
Ti -4.0190 3.6457 1.0413
Ti -0.4641 6.5279 -0.1298
Ti -0.8706 1.9823 1.1128
Ti 0.7526 4.3319 0.8957
Ti -3.2870 0.9139 -0.2216
Ti -4.4255 -0.8998 2.2839
Si -1.7240 4.1507 -0.1313
Si -3.1656 1.4773 2.2855
Pt -0.9733 0.5169 -1.6823



(2)
4
Lattice="3.9160 0.0000 0.0000 1.9580 3.3914 0.0000 1.9580 1.1305 7.3320" Properties=species:S:1:pos:R:3 comment="ErCdAu2 | Alexandria via LeMat-Bulk | PBE | relaxed" sg=R3m formation_energy_mev_per_atom=-475 magmom_total_mub_per_fu=0.0 pbc="T T T"
Er 5.8741 3.3914 7.3242
Cd 3.9160 2.2609 3.6756
Au 1.9580 1.1305 5.4982
Au 1.9580 1.1305 1.8321



(3)
4
Lattice="3.0858 0.0000 7.6604 -1.5429 2.6724 7.6604 -1.5429 -2.6724 7.6604" Properties=species:S:1:pos:R:3 comment="CsMnCl2 | Alexandria via LeMat-Bulk | PBE | relaxed" sg=R-3m magmom_total_mub_per_fu=4.0 de_polymorph_ev_per_atom=0.000 pbc="T T T"
Cs 0.0000 0.0000 11.4906
Mn 0.0000 0.0000 0.0000
Cl 0.0000 0.0000 20.7679
Cl 0.0000 0.0000 2.2133



(4)
28
Lattice="5.1716 0.0000 0.0000 0.0000 13.2308 0.0000 0.0000 0.0000 12.6493" Properties=species:S:1:pos:R:3 comment="Tb3Er3In | Alexandria via LeMat-Bulk | PBE | relaxed" sg=Pnma formation_energy_mev_per_atom=-9 magmom_total_mub_per_fu=0.0 de_polymorph_ev_per_atom=0.106 pbc="T T T"
Tb 3.8787 8.9249 9.6769
Tb 1.2929 10.9213 3.3523
Tb 1.2929 4.3059 2.9724
Tb 3.8787 2.3095 9.2970
Tb 3.8787 2.4815 1.6466
Tb 1.2929 4.1339 7.9712
Tb 1.2929 10.7493 11.0027
Tb 3.8787 9.0969 4.6781
Tb 3.8787 12.0764 8.7218
Tb 1.2929 7.7698 2.3972
Tb 1.2929 1.1544 3.9275
Tb 3.8787 5.4610 10.2522
Er 3.8787 12.9600 11.7983
Er 1.2929 6.8862 5.4737
Er 1.2929 0.2708 0.8510
Er 3.8787 6.3446 7.1756
Er 3.8787 12.5263 5.4214
Er 1.2929 7.3199 11.7460
Er 1.2929 0.7045 7.2279
Er 3.8787 5.9109 0.9033
Er 3.8787 9.5691 0.7063
Er 1.2929 10.2771 7.0310
Er 1.2929 3.6617 11.9430
Er 3.8787 2.9537 5.6183
In 3.8787 12.5217 2.3139
In 1.2929 7.3245 8.6385
In 1.2929 0.7091 10.3354
In 3.8787 5.9063 4.0108



(5)
12
Lattice="-4.0634 2.4457 -6.1837 -0.3123 -7.5075 2.0665 -4.6025 3.1689 5.9156" Properties=species:S:1:pos:R:3 comment="Cs3K2NpS6 | Alexandria via LeMat-Bulk | PBE | relaxed" sg=C2/m total_energy_ry_per_atom=-0.34319 magmom_total_mub_per_fu=0.0 pbc="T T T"
Cs -3.2766 -4.1637 3.5660
Cs -5.7016 2.2707 -1.7675
Cs -4.4891 -0.9465 0.8992
K -1.5696 -4.1713 -0.6988
K -2.8061 -0.8905 -3.4183
Np 0.0000 0.0000 0.0000
S -7.7617 -0.1735 0.3990
S -4.4027 -3.4548 -2.1661
S -1.2165 -1.7195 1.3994
S -6.7640 -2.8206 2.5933
S -4.5755 1.5619 3.9646
S -2.2142 0.9277 -0.7948



(6)
8
Lattice="-5.3681 -1.0820 -0.9042 0.8949 -2.3787 -2.4667 3.0245 -8.6631 9.4450" Properties=species:S:1:pos:R:3 comment="Dy4Er3Tm | Alexandria via LeMat-Bulk | PBE | relaxed" sg=Cmmm formation_energy_mev_per_atom=200 magmom_total_mub_per_fu=0.0 de_polymorph_ev_per_atom=0.197 pbc="T T T"
Er 0.4475 -1.1893 -1.2334
Er -1.5537 -9.2848 3.3004
Er 0.1050 -2.8391 2.7737
Tm -2.6841 -0.5410 -0.4521
Dy -2.1667 -3.6213 0.1626
Dy 0.7181 -8.5025 5.9115
Dy 0.6353 -6.2903 3.7558
Dy -2.0839 -5.8336 2.3183



(7)
7
Lattice="6.0420 0.0000 0.0000 0.0000 6.0420 0.0000 3.0210 3.0210 7.3953" Properties=species:S:1:pos:R:3 comment="La4SnAu2 | Alexandria via LeMat-Bulk | PBE | relaxed" sg=I4/mmm formation_energy_mev_per_atom=-229 magmom_total_mub_per_fu=0.0 pbc="T T T"
Au 6.0420 6.0420 5.9872
Au 3.0210 3.0210 1.4081
Sn 0.0000 0.0000 0.0000
La 6.0420 6.0420 3.0903
La 3.0210 3.0210 4.3050
La 0.0000 3.0210 0.0000
La 3.0210 0.0000 0.0000



(8)
4
Lattice="-1.2884 -3.5287 -2.2203 -0.6526 -4.2879 0.4791 -6.7780 0.5607 1.7541" Properties=species:S:1:pos:R:3 comment="SrMoPt2 | Alexandria via LeMat-Bulk | PBE | relaxed" sg=C2/m formation_energy_mev_per_atom=-31 magmom_total_mub_per_fu=0.0 de_polymorph_ev_per_atom=0.214 pbc="T T T"
Mo -2.1798 -1.8140 0.0032
Pt -0.4128 0.0297 0.1056
Pt -3.9467 -3.6576 -0.0991
Sr -6.5393 -5.4419 0.0097



(9)
10
Lattice="5.1025 0.0000 0.0000 0.0000 5.4103 0.0000 0.0000 0.0000 5.4103" Properties=species:S:1:pos:R:3 comment="Pm2TlSiO6 | Alexandria via LeMat-Bulk | PBE | relaxed" sg=P4mm total_energy_ry_per_atom=-0.52442 magmom_total_mub_per_fu=0.0 pbc="T T T"
Pm 5.0629 2.7051 0.0000
Pm 5.0629 0.0000 2.7051
Tl 2.6960 2.7051 2.7051
Si 3.1530 0.0000 0.0000
O 3.7505 1.1796 1.1796
O 3.7505 1.1796 4.2307
O 0.4338 2.7051 2.7051
O 1.4844 0.0000 0.0000
O 3.7505 4.2307 4.2307
O 3.7505 4.2307 1.1796



(10)
4
Lattice="3.3829 -0.0050 0.0000 0.0045 3.3829 0.0000 0.0000 0.0000 8.2317" Properties=species:S:1:pos:R:3 comment="Sc2AuCl | Alexandria via LeMat-Bulk | PBE | relaxed" sg=P4mm magmom_total_mub_per_fu=0.0 de_polymorph_ev_per_atom=0.178 pbc="T T T"
Au 0.0000 0.0000 3.5881
Cl 1.6937 1.6889 6.9008
Sc 0.0000 0.0000 8.0738
Sc 1.6937 1.6889 2.0165



(11)
4
Lattice="4.9374 0.0012 0.0000 -0.0053 4.9374 0.0000 -2.4661 -2.4693 3.4928" Properties=species:S:1:pos:R:3 comment="TeIrBr2 | Alexandria via LeMat-Bulk | PBE | relaxed" sg=F-43m total_energy_ry_per_atom=-0.22552 magmom_total_mub_per_fu=0.0 pbc="T T T"
Ir 2.4661 2.4693 0.0000
Te 2.4687 0.0006 1.7464
Br 0.0000 0.0000 0.0000
Br -0.0027 2.4687 1.7464



(12)
5
Lattice="5.0974 0.0000 0.0000 0.0000 5.0974 0.0000 0.0000 0.0000 3.5127" Properties=species:S:1:pos:R:3 comment="Y2BeAlC | Alexandria via LeMat-Bulk | PBE | relaxed" sg=P4/mmm formation_energy_mev_per_atom=-258 magmom_total_mub_per_fu=0.0 pbc="T T T"
Y 0.0000 2.5487 0.0000
Y 2.5487 0.0000 0.0000
Be 0.0000 0.0000 1.7564
C 0.0000 0.0000 0.0000
Al 2.5487 2.5487 1.7564



(13)
8
Lattice="5.3997 0.0000 0.0000 0.0000 5.3997 0.0000 2.6999 2.6999 6.9285" Properties=species:S:1:pos:R:3 comment="In2GeF | Alexandria via LeMat-Bulk | PBE | relaxed" sg=I-42d magmom_total_mub_per_fu=0.0 de_polymorph_ev_per_atom=0.033 pbc="T T T"
Ge 0.0000 0.0000 0.0000
Ge 5.3997 2.6999 3.4642
F 2.6999 2.6999 0.0000
F 2.6999 5.3997 3.4642
In 3.7973 1.3499 1.7321
In 1.6024 4.0498 1.7321
In 4.0498 4.3023 5.1964
In 6.7496 6.4971 5.1964



(14)
8
Lattice="-2.2066 -3.2514 -0.8409 1.1497 -1.6767 3.4662 -7.9078 4.1670 4.6387" Properties=species:S:1:pos:R:3 comment="PuAgTeN | Alexandria via LeMat-Bulk | PBE | relaxed" sg=P4/nmm total_energy_ry_per_atom=-0.58501 magmom_total_mub_per_fu=4.0 pbc="T T T"
Pu -6.4983 2.8889 5.8822
Pu -1.9379 -1.1859 0.0692
Ag -3.9539 2.0835 2.3193
Ag -4.4823 -0.3805 3.6320
Te -6.7381 1.3436 2.8850
Te -1.6981 0.3594 3.0664
N -0.5284 -2.4640 1.3127
N 0.0000 0.0000 0.0000



(15)
5
Lattice="5.0122 0.0000 0.0000 0.0000 5.0122 0.0000 0.0000 0.0000 6.1716" Properties=species:S:1:pos:R:3 comment="RbLiCdCo2 | Alexandria via LeMat-Bulk | PBE | relaxed" sg=P4/mmm formation_energy_mev_per_atom=1237 magmom_total_mub_per_fu=3.3 pbc="T T T"
Li 2.5061 2.5061 3.0858
Co 0.0000 2.5061 0.0000
Co 2.5061 0.0000 0.0000
Rb 0.0000 0.0000 3.0858
Cd 0.0000 0.0000 0.0000



(16)
4
Lattice="-0.6449 1.3413 3.8595 -0.1887 -2.7038 3.1248 5.2353 0.0309 3.0808" Properties=species:S:1:pos:R:3 comment="Hf2ZrFe | Alexandria via LeMat-Bulk | PBE | relaxed" sg=R3m formation_energy_mev_per_atom=190 magmom_total_mub_per_fu=0.0 de_polymorph_ev_per_atom=0.338 pbc="T T T"
Hf 4.3391 -0.0479 2.9585
Hf 0.6647 -0.3712 2.4568
Zr 2.3616 -0.6516 5.0545
Fe 4.4723 -0.8956 7.7087



(17)
5
Lattice="-4.7160 0.6003 0.7065 -0.3125 -4.4520 1.6969 0.8722 1.6298 4.4366" Properties=species:S:1:pos:R:3 comment="LiGaAgP2 | Alexandria via LeMat-Bulk | PBE | relaxed" sg=P4/mmm formation_energy_mev_per_atom=542 magmom_total_mub_per_fu=0.0 pbc="T T T"
P 0.4361 0.8149 2.2183
P -2.3580 0.3002 0.3533
Ga -2.0782 -1.1109 3.4200
Ag 0.0000 0.0000 0.0000
Li -0.1562 -2.2260 0.8484



(18)
16
Lattice="-5.5363 -1.1267 -6.2922 -6.0260 -3.4382 5.9178 3.0905 7.7107 1.5826" Properties=species:S:1:pos:R:3 comment="Rb4Pr3SbS8 | Alexandria via LeMat-Bulk | PBE | relaxed" sg=R-3m total_energy_ry_per_atom=-0.36644 magmom_total_mub_per_fu=0.0 pbc="T T T"
Rb -2.7682 -0.5634 -3.1461
Rb -1.2229 3.2920 -2.3548
Rb 0.0000 0.0000 0.0000
Rb 1.5453 3.8553 0.7913
Pr -5.7812 -2.2825 -0.1872
Pr -4.2359 1.5728 0.6041
Pr -1.4677 2.1362 3.7502
Sb -3.0130 -1.7191 2.9589
S -2.4722 4.8093 4.2128
S -4.0488 0.8764 3.4056
S -1.6386 2.7807 0.9438
S -5.2964 4.2346 1.0031
S -3.1754 -1.0889 0.2051
S -6.8332 0.3650 0.2644
S -4.4230 2.2693 -2.1973
S -5.9996 -1.6636 -3.0046



(19)
3
Lattice="3.5132 0.0000 0.0000 0.0000 3.5132 0.0000 -1.7566 -1.7566 4.5431" Properties=species:S:1:pos:R:3 comment="ThCuNi | Alexandria via LeMat-Bulk | PBE | relaxed" sg=I4mm formation_energy_mev_per_atom=-109 magmom_total_mub_per_fu=0.0 pbc="T T T"
Ni 0.0000 0.0000 2.4447
Th 1.7566 1.7566 4.0406
Cu 1.7566 1.7566 1.2379



(20)
4
Lattice="4.5553 0.0000 0.0000 2.2777 3.9450 0.0000 2.2777 1.3150 3.7194" Properties=species:S:1:pos:R:3 comment="TmTiNiIr | Alexandria via LeMat-Bulk | PBE | relaxed" sg=F-43m formation_energy_mev_per_atom=-558 magmom_total_mub_per_fu=0.0 pbc="T T T"
Ni 4.5553 2.6300 1.8597
Ir 0.0000 0.0000 0.0000
Tm 6.8330 3.9450 2.7895
Ti 2.2777 1.3150 0.9298